4
Lattice="4.7632 0.0000 0.0000 0.0000 2.9651 0.0000 -1.5306 0.0000 4.5955" Properties=species:S:1:pos:R:3 comment="ScIr2Au, relaxed, DFT GGA-PBE" de_polymorph_ev_per_fu=0.50 energy_ev_per_atom=-7.2088 delta_e_f_kcal_per_mol_atoms=-8.67 total_magnetization_mub_per_cell=0.000 pbc="T T T"
Sc 0.0000 0.0000 0.0000
Ir 1.6163 0.0000 2.2977
Ir 2.3816 1.4825 0.0000
Au -0.7653 1.4825 2.2977